Entry 1:
Material: Cd2TcPbO6
Method: DFT, PBE
State: relaxed

For the total energy, the calculation gives -5.54 eV per atom. For the uncorrected formation energy, the calculation gives -0.9790 eV/atom. Its theoretical density is 6.04 g cm⁻³. The value obtained for the density of states at the Fermi level is 3.46 states/eV/f.u.

Geometry as POSCAR:
```
Cd2TcPbO6
1.0
5.326 0.000 0.000
0.000 5.686 0.000
0.000 0.000 5.686
Tc O Cd Pb
1 6 2 1
Direct
0.613 0.000 0.000
0.739 0.223 0.223
0.739 0.777 0.223
0.286 0.000 0.000
0.739 0.777 0.777
0.134 0.500 0.500
0.739 0.223 0.777
0.957 0.000 0.500
0.957 0.500 0.000
0.543 0.500 0.500
```

=====

Entry 2:
Material: CaCo2P
Method: DFT, PBE
State: relaxed

For the total energy, the calculation gives -5.65 eV per atom. Its theoretical density is 4.11 g cm⁻³. The value obtained for the density of states at the Fermi level is 3.18 states/eV/f.u.

Geometry as POSCAR:
```
CaCo2P
1.0
-1.069 0.340 -4.374
-1.527 -4.249 0.043
-8.123 0.517 -0.305
Co P Ca
4 2 2
Direct
0.875 0.625 0.750
0.375 0.125 0.250
0.375 0.625 0.750
0.375 0.625 0.250
0.500 0.500 0.000
0.250 0.750 0.500
0.750 0.250 0.500
0.000 0.000 0.000
```

=====

Entry 3:
Material: AcTb2HoSb4
Method: DFT, PBE
State: relaxed

For the total energy, the calculation gives -5.42 eV per atom. For the uncorrected formation energy, the calculation gives -1.1205 eV/atom. Its theoretical density is 7.71 g cm⁻³. The value obtained for the density of states at the Fermi level is 1.03 states/eV/f.u.

Geometry as POSCAR:
```
AcTb2HoSb4
1.0
-3.928 -1.936 1.047
3.255 -7.036 -0.799
2.948 -2.281 6.839
Ac Sb Tb Ho
1 4 2 1
Direct
0.500 0.500 0.000
0.000 0.764 0.734
0.500 0.244 0.741
0.000 0.236 0.266
0.500 0.756 0.259
0.500 0.000 0.500
0.000 0.000 0.000
0.000 0.500 0.500
```

=====

Entry 4:
Material: Cs3Pu2SnS6
Method: DFT, PBE
State: relaxed

For the total energy, the calculation gives -6.29 eV per atom. For the uncorrected formation energy, the calculation gives -1.2900 eV/atom. Its theoretical density is 5.43 g cm⁻³. The value obtained for the density of states at the Fermi level is 20.94 states/eV/f.u.

Geometry as POSCAR:
```
Cs3Pu2SnS6
1.0
7.283 0.003 0.003
-3.638 6.310 0.003
-1.212 -2.099 7.959
S Cs Sn Pu
6 3 1 2
Direct
0.586 0.939 0.818
0.939 0.586 0.818
0.414 0.061 0.182
0.061 0.414 0.182
0.293 0.293 0.822
0.707 0.707 0.178
0.159 0.841 0.500
0.500 0.500 0.500
0.841 0.159 0.500
0.000 0.000 0.000
0.667 0.333 0.000
0.333 0.667 0.000
```

=====

Entry 5:
Material: HoScRuPb
Method: DFT, PBE
State: relaxed

For the total energy, the calculation gives -6.48 eV per atom. As for the energy above the most stable polymorph in this dataset: 0.000 eV/atom. Its theoretical density is 9.65 g cm⁻³. The value obtained for the density of states at the Fermi level is 1.25 states/eV/f.u.

Geometry as POSCAR:
```
HoScRuPb
1.0
-0.609 0.766 -3.192
-2.858 -1.722 0.132
-3.869 6.600 2.322
Ru Pb Ho Sc
1 1 1 1
Direct
0.000 0.000 0.553
0.000 0.000 0.088
0.500 0.500 0.772
0.500 0.500 0.372
```

=====

The lowest theoretical density belongs to which entry? CaCo2P

=====

What is the formula in the fifth record? HoScRuPb

=====

The lowest theoretical density belongs to which entry? CaCo2P

=====

Which of these has the highest theoretical density? HoScRuPb